[1]
The following is a GGA-PBE calculation of a relaxed ZrH2Se crystal, from Alexandria via LeMat-Bulk.

Values from the calculation:
The calculation puts the energy above the most stable polymorph in this dataset at 389 meV per atom. The calculated total energy comes out at -5.089 eV per atom. For the density of states at the Fermi level, the calculation gives 0.163 states/eV/atom.

a = 7.154 Å, b = 7.154 Å, c = 7.154 Å
α = 147.44°, β = 147.44°, γ = 46.72°
Fractional coordinates of all 8 atoms:
Zr (0.375, 0.625, 0.750)
Zr (0.625, 0.375, 0.250)
H (0.000, 0.500, 0.500)
H (0.500, 0.000, 0.000)
H (0.500, 0.500, 0.000)
H (0.500, 0.500, 0.500)
Se (0.125, 0.875, 0.250)
Se (0.875, 0.125, 0.750)



[2]
The following is a GGA-PBE calculation of a relaxed Rb2NaO4 crystal, from Alexandria via LeMat-Bulk.

Values from the calculation:
The calculated total energy comes out at -4.237 eV per atom. For the density of states at the Fermi level, the calculation gives 0.571 states/eV/atom.

a = 7.235 Å, b = 7.235 Å, c = 6.966 Å
α = 116.81°, β = 116.81°, γ = 96.08°
Fractional coordinates of all 14 atoms:
Rb (0.066, 0.934, 0.500)
Rb (0.400, 0.597, 0.604)
Rb (0.597, 0.400, 0.104)
Rb (0.934, 0.066, 0.000)
Na (0.254, 0.741, 0.099)
Na (0.741, 0.254, 0.599)
O (0.004, 0.334, 0.505)
O (0.181, 0.390, 0.751)
O (0.334, 0.004, 0.005)
O (0.390, 0.181, 0.251)
O (0.511, 0.967, 0.566)
O (0.624, 0.847, 0.458)
O (0.847, 0.624, 0.958)
O (0.967, 0.511, 0.066)



[3]
The following is a GGA-PBE calculation of a relaxed K2Mg2Zn crystal, from Alexandria via LeMat-Bulk.

Values from the calculation:
The calculation puts the energy above the most stable polymorph in this dataset at 149 meV per atom. For the energy of formation from the pure elements, the calculation gives 0.394 eV/atom. The calculated total energy comes out at -0.938 eV per atom. For the density of states at the Fermi level, the calculation gives 0.634 states/eV/atom.

a = 10.820 Å, b = 10.820 Å, c = 3.607 Å
α = 90.00°, β = 90.00°, γ = 90.00°
Fractional coordinates of all 10 atoms:
K (0.194, 0.306, 0.000)
K (0.306, 0.806, 0.000)
K (0.694, 0.194, 0.000)
K (0.806, 0.694, 0.000)
Mg (0.099, 0.599, 0.500)
Mg (0.401, 0.099, 0.500)
Mg (0.599, 0.901, 0.500)
Mg (0.901, 0.401, 0.500)
Zn (0.000, 0.000, 0.000)
Zn (0.500, 0.500, 0.000)